one.
Material: Y5Er3Tm4
Method: DFT, PBE
State: relaxed

Structure (extended XYZ):
```
12
Lattice="6.106 0.000 0.000 0.006 7.063 0.000 0.011 0.006 8.635" Properties=species:S:1:pos:R:3 pbc="T T T"
Y 0.000 0.000 0.000
Y 2.032 3.533 5.744
Y 3.052 1.763 0.001
Y 3.070 5.306 8.634
Y 4.091 3.536 2.891
Er 0.003 3.532 0.000
Er 1.023 5.309 2.880
Er 5.100 1.760 5.755
Tm 1.019 1.761 2.883
Tm 2.054 7.066 5.735
Tm 4.069 0.004 2.900
Tm 5.104 5.309 5.752
```

Properties
The total magnetization is 0.00 μB per formula unit.

two.
Material: Y5Er3Tm4
Method: DFT, PBE
State: relaxed

Structure (extended XYZ):
```
12
Lattice="8.035 -2.902 0.000 8.035 2.902 0.000 -4.135 0.000 8.203" Properties=species:S:1:pos:R:3 pbc="T T T"
Y 0.000 0.000 0.000
Y 2.706 0.000 5.040
Y 5.595 0.000 2.433
Y 6.340 0.000 5.770
Y 9.229 0.000 3.163
Er 2.403 0.000 1.877
Er 8.035 0.000 0.000
Er 9.532 0.000 6.326
Tm -0.530 0.000 3.599
Tm -0.177 0.000 7.199
Tm 12.112 0.000 1.005
Tm 12.464 0.000 4.604
```

Properties
The total magnetization is 0.60 μB per formula unit.

Most stable structure: one

one.
Material: YEr4Tm6
Method: DFT, PBE
State: relaxed

Structure (extended XYZ):
```
11
Lattice="-3.777 3.777 6.451 3.777 -3.777 6.451 3.777 3.777 -6.451" Properties=species:S:1:pos:R:3 pbc="T T T"
Y 0.000 0.000 0.000
Er 2.524 2.524 -0.992
Er 1.253 -1.253 7.443
Er 1.253 1.253 5.459
Er -1.253 1.253 7.443
Tm 3.777 0.000 0.000
Tm 1.920 -1.920 4.079
Tm 1.858 1.858 2.373
Tm 0.000 3.777 0.000
Tm -1.920 1.920 4.079
Tm 1.920 1.920 8.824
```

Properties
The total magnetization is 0.00 μB per formula unit.

two.
Material: YEr4Tm6
Method: DFT, PBE
State: relaxed

Structure (extended XYZ):
```
22
Lattice="2.784 -4.782 0.000 2.784 4.782 0.000 0.000 0.000 25.349" Properties=species:S:1:pos:R:3 pbc="T T T"
Y 2.784 3.120 19.012
Y 2.784 -3.120 6.337
Er 2.784 3.211 1.057
Er 2.784 3.211 11.617
Er 2.784 0.079 3.083
Er 2.784 0.079 9.591
Er 2.784 -0.079 15.757
Er 2.784 -0.079 22.266
Er 2.784 -3.211 13.731
Er 2.784 -3.211 24.292
Tm 2.784 3.259 4.594
Tm 2.784 3.259 8.080
Tm 2.784 3.122 15.286
Tm 2.784 3.122 22.737
Tm 2.784 0.073 6.337
Tm 2.784 0.000 0.000
Tm 2.784 0.000 12.674
Tm 2.784 -0.073 19.012
Tm 2.784 -3.122 2.611
Tm 2.784 -3.122 10.063
Tm 2.784 -3.259 17.268
Tm 2.784 -3.259 20.755
```

Properties
The total magnetization is 0.00 μB per formula unit.

Most stable structure: two

one.
Material: Y6ErTm
Method: DFT, PBE
State: relaxed

Structure (extended XYZ):
```
8
Lattice="6.556 0.000 0.000 -0.015 6.785 0.000 -1.446 -3.387 5.831" Properties=species:S:1:pos:R:3 pbc="T T T"
Y 0.825 1.143 2.793
Y 0.178 3.031 5.831
Y 0.984 4.532 3.032
Y 4.111 -1.134 2.800
Y 4.917 0.367 0.001
Y 4.270 2.255 3.038
Er 3.271 3.392 0.000
Tm -0.007 3.392 0.000
```

Properties
The total magnetization is 0.04 μB per formula unit.

two.
Material: Y6ErTm
Method: DFT, PBE
State: relaxed

Structure (extended XYZ):
```
8
Lattice="5.622 -2.512 0.000 5.622 2.512 0.000 -4.482 0.000 8.976" Properties=species:S:1:pos:R:3 pbc="T T T"
Y 10.122 0.000 2.246
Y -3.360 0.000 6.731
Y 2.251 0.000 1.124
Y 0.011 0.000 5.609
Y 6.751 0.000 3.368
Y 4.511 0.000 7.852
Er 5.622 0.000 0.000
Tm 3.381 0.000 4.488
```

Properties
The total magnetization is 0.00 μB per formula unit.

Most stable structure: two

one.
Material: Y6Er12Tm
Method: DFT, PBE
State: relaxed

Structure (extended XYZ):
```
19
Lattice="6.530 3.770 4.181 -6.530 3.770 4.181 0.000 -7.540 4.181" Properties=species:S:1:pos:R:3 pbc="T T T"
Y -2.887 -1.667 5.685
Y 0.000 -3.334 6.857
Y -2.887 1.667 6.857
Y 2.887 -1.667 5.685
Y 0.000 3.334 5.685
Y 2.887 1.667 6.857
Er -1.675 -4.638 4.181
Er -4.855 0.868 4.181
Er 0.000 -2.058 2.964
Er -1.783 1.029 2.964
Er 1.675 -4.638 4.181
Er -3.179 3.770 4.181
Er 1.783 1.029 2.964
Er -1.783 -1.029 9.578
Er 4.855 0.868 4.181
Er 3.179 3.770 4.181
Er 1.783 -1.029 9.578
Er 0.000 2.058 9.578
Tm 0.000 0.000 6.271
```

Properties
The total magnetization is 0.00 μB per formula unit.

two.
Material: Y6Er12Tm
Method: DFT, PBE
State: relaxed

Structure (extended XYZ):
```
19
Lattice="6.128 3.538 4.688 -6.128 3.538 4.688 0.000 -7.076 4.688" Properties=species:S:1:pos:R:3 pbc="T T T"
Y -3.281 0.825 6.376
Y -2.355 -2.429 7.688
Y 0.926 -3.254 6.376
Y -0.926 3.254 7.688
Y 2.355 2.429 6.376
Y 3.281 -0.825 7.688
Er -1.605 -5.730 6.025
Er -5.765 -1.475 8.039
Er -1.429 -1.386 4.308
Er -4.160 4.255 6.025
Er -0.485 1.931 4.308
Er 1.915 -0.545 4.308
Er -1.915 0.545 9.756
Er 0.485 -1.931 9.756
Er 4.160 -4.255 8.039
Er 1.429 1.386 9.756
Er 5.765 1.475 6.025
Er 1.605 5.730 8.039
Tm 0.000 0.000 7.032
```

Properties
The total magnetization is 0.00 μB per formula unit.

Most stable structure: two

one.
Material: Y4Er8Tm3
Method: DFT, PBE
State: relaxed

Structure (extended XYZ):
```
15
Lattice="6.627 -6.378 0.000 6.627 6.378 0.000 -3.355 0.000 5.773" Properties=species:S:1:pos:R:3 pbc="T T T"
Y 0.000 0.000 0.000
Y -1.677 0.000 2.886
Y 3.313 3.189 0.000
Y 3.313 -3.189 0.000
Er 6.627 3.137 0.000
Er 1.847 0.000 2.951
Er 3.477 0.000 0.203
Er 4.949 1.772 2.886
Er 4.949 -1.772 2.886
Er 6.421 0.000 5.570
Er 8.051 0.000 2.821
Er 6.627 -3.137 0.000
Tm 1.636 3.189 2.886
Tm 1.636 -3.189 2.886
Tm 6.627 0.000 0.000
```

Properties
The total magnetization is 0.13 μB per formula unit.

two.
Material: Y4Er8Tm3
Method: DFT, PBE
State: relaxed

Structure (extended XYZ):
```
15
Lattice="3.429 1.980 11.661 -3.429 1.980 11.661 0.000 -3.959 11.661" Properties=species:S:1:pos:R:3 pbc="T T T"
Y 0.000 0.000 0.000
Y 0.000 0.000 5.735
Y 0.000 0.000 17.491
Y 0.000 0.000 29.247
Er 0.000 -1.966 14.548
Er -1.703 0.983 14.548
Er -1.703 -0.983 20.434
Er 0.000 0.000 8.957
Er 0.000 0.000 26.026
Er 1.703 0.983 14.548
Er 1.703 -0.983 20.434
Er 0.000 1.966 20.434
Tm -1.714 -0.990 11.661
Tm -1.714 0.990 23.322
Tm 0.000 1.980 11.661
```

Properties
The total magnetization is 0.10 μB per formula unit.

Most stable structure: two

one.
Material: Y6ErTm8
Method: DFT, PBE
State: relaxed

Structure (extended XYZ):
```
15
Lattice="4.487 2.591 6.810 -4.487 2.591 6.810 0.000 -5.181 6.810" Properties=species:S:1:pos:R:3 pbc="T T T"
Y -3.045 -1.211 9.366
Y -0.474 -3.242 11.063
Y -2.571 2.031 11.063
Y 2.571 -2.031 9.366
Y 0.474 3.242 9.366
Y 3.045 1.211 11.063
Er 0.000 0.000 10.214
Tm 0.000 0.000 1.551
Tm -0.093 -1.957 7.304
Tm -1.648 1.059 7.304
Tm -1.741 -0.898 13.125
Tm 1.741 0.898 7.304
Tm 1.648 -1.059 13.125
Tm 0.093 1.957 13.125
Tm 0.000 0.000 18.878
```

Properties
The total magnetization is 0.00 μB per formula unit.

two.
Material: Y6ErTm8
Method: DFT, PBE
State: relaxed

Structure (extended XYZ):
```
15
Lattice="9.367 0.000 0.000 -4.684 8.112 0.000 0.000 0.000 6.413" Properties=species:S:1:pos:R:3 pbc="T T T"
Y -0.998 3.402 2.633
Y -1.239 7.275 2.633
Y 2.448 2.565 3.780
Y 2.236 5.547 2.633
Y 5.922 0.837 3.780
Y 5.681 4.710 3.780
Er 0.000 0.000 3.206
Tm -3.031 5.574 0.603
Tm 1.372 2.700 0.603
Tm 3.024 0.162 5.810
Tm 0.000 5.408 5.473
Tm 4.684 2.704 0.940
Tm 1.659 7.950 0.603
Tm 3.312 5.412 5.810
Tm 7.715 2.538 5.810
```

Properties
The total magnetization is 0.00 μB per formula unit.

Most stable structure: one

one.
Material: Er3TmZn2
Method: DFT, PBE
State: relaxed

Structure (extended XYZ):
```
12
Lattice="4.964 0.000 0.000 0.000 8.965 0.000 0.000 0.000 6.695" Properties=species:S:1:pos:R:3 pbc="T T T"
Er 0.000 0.496 0.000
Er 0.000 2.922 2.335
Er 0.000 6.043 5.682
Er 0.000 8.469 3.347
Er 2.482 1.576 4.581
Er 2.482 7.389 1.234
Tm 2.482 3.986 0.227
Tm 2.482 4.979 3.574
Zn 0.000 3.145 5.288
Zn 0.000 5.819 1.940
Zn 2.482 1.340 1.631
Zn 2.482 7.625 4.979
```

Properties
The total magnetization is 0.00 μB per formula unit.

two.
Material: Er3TmZn2
Method: DFT, PBE
State: relaxed

Structure (extended XYZ):
```
6
Lattice="3.532 0.000 0.000 0.000 3.532 0.000 0.000 0.000 12.025" Properties=species:S:1:pos:R:3 pbc="T T T"
Er 0.000 0.000 0.000
Er 0.000 0.000 3.511
Er 0.000 0.000 8.514
Tm 1.766 1.766 6.012
Zn 1.766 1.766 1.753
Zn 1.766 1.766 10.272
```

Properties
The total magnetization is 0.00 μB per formula unit.

Most stable structure: one

one.
Material: Er3Tm2Zn2
Method: DFT, PBE
State: relaxed

Structure (extended XYZ):
```
7
Lattice="6.404 -1.811 0.000 6.404 1.811 0.000 -3.845 0.000 7.973" Properties=species:S:1:pos:R:3 pbc="T T T"
Er 0.000 0.000 0.000
Er -0.278 0.000 3.525
Er 9.240 0.000 4.448
Tm 3.802 0.000 1.505
Tm 5.161 0.000 6.468
Zn 1.094 0.000 6.204
Zn 7.869 0.000 1.770
```

Properties
The total magnetization is 0.00 μB per formula unit.

two.
Material: Er3Tm2Zn2
Method: DFT, PBE
State: relaxed

Structure (extended XYZ):
```
7
Lattice="1.748 -15.134 0.000 1.748 15.134 0.000 0.000 0.000 3.467" Properties=species:S:1:pos:R:3 pbc="T T T"
Er 0.000 0.000 0.000
Er 1.748 11.532 0.000
Er 1.748 -11.532 0.000
Tm 1.748 6.089 1.733
Tm 1.748 -6.089 1.733
Zn 1.748 1.762 1.733
Zn 1.748 -1.762 1.733
```

Properties
The total magnetization is 0.00 μB per formula unit.

Most stable structure: one